# Dy2ErCl

Crystalline Dy2ErCl at its relaxed geometry (PBE, the Alexandria database).

Cell lengths 3.5833, 3.5833, 29.7606 Å; angles 90.00, 90.00, 120.00 degrees
Sites, in units of the cell vectors:
Dy: 0.0000 0.0000 0.2400
Dy: 0.0000 0.0000 0.7600
Dy: 0.3333 0.6667 0.4267
Dy: 0.3333 0.6667 0.9066
Dy: 0.6667 0.3333 0.0934
Dy: 0.6667 0.3333 0.5733
Er: 0.0000 0.0000 0.0000
Er: 0.3333 0.6667 0.6667
Er: 0.6667 0.3333 0.3333
Cl: 0.0000 0.0000 0.5000
Cl: 0.3333 0.6667 0.1667
Cl: 0.6667 0.3333 0.8333

ΔE_f (raw) ... -0.643 eV/atom
Space-group type ... R-3m
Magnetic moment ... 0.00 μB/f.u.
Uncorrected energy ... -54.6 eV/cell

# NaTi3AlO8

Crystalline NaTi3AlO8 at its relaxed geometry (PBE, the Alexandria database).

Cell lengths 6.4106, 6.4106, 6.5081 Å; angles 107.23, 107.23, 34.44 degrees
Sites, in units of the cell vectors:
Na: 0.0000 0.0000 0.0000
Ti: 0.4124 0.4124 0.3316
Ti: 0.6186 0.6186 0.7541
Ti: 0.7176 0.7176 0.3503
Al: 0.3125 0.3125 0.7456
O: 0.1574 0.1574 0.7624
O: 0.2533 0.2533 0.4129
O: 0.3849 0.3849 0.0444
O: 0.4604 0.4604 0.6971
O: 0.5738 0.5738 0.4201
O: 0.6448 0.6448 0.0644
O: 0.7856 0.7856 0.7089
O: 0.8784 0.8784 0.3432

ΔE_f (raw) ... -2.899 eV/atom
Space-group type ... Cm
Magnetic moment ... 0.00 μB/f.u.
Uncorrected energy ... -106.1 eV/cell

Question: Which of these has the highest uncorrected energy?
Answer: Dy2ErCl